# PaAsRu

A relaxed PaAsRu crystal (GGA-PBE, the Alexandria database).

Geometry as extended XYZ:
```
12
Lattice="3.943 0.000 0.000 0.000 8.765 0.000 0.000 0.000 6.917" Properties=species:S:1:pos:R:3 pbc="T T T"
Pa 0.000 0.912 0.000
Pa 0.000 3.010 3.706
Pa 0.000 5.755 0.247
Pa 0.000 7.853 3.459
As 1.971 0.950 4.662
As 1.971 3.963 1.650
As 1.971 4.801 5.109
As 1.971 7.815 1.204
Ru 1.971 1.493 2.152
Ru 1.971 2.743 6.471
Ru 1.971 6.021 3.013
Ru 1.971 7.272 5.610
```

## Properties
density of states at the Fermi level	2.3	states/eV/f.u.
SG	Pmc2_1 (26)
energy of formation from the pure elements	-0.77	eV/atom
VASP energy	-102.87	eV per cell